Below is a geometry-optimized Cs2ZnMoF6 structure, with properties calculated at the PBE+U level.

Cell: 6.229 6.229 6.199 Å, 59.84 59.84 90.00°
Site moments in Bohr magnetons follow the coordinates.
Fractional positions:
Zn  0.500  0.500  0.000  0.00
F  0.737  0.737  0.000  0.00
Mo  0.000  0.000  0.000  1.81
F  0.263  0.263  0.000  0.00
F  0.748  0.748  0.503  0.02
Cs  0.250  0.750  0.500  0.00
Cs  0.750  0.250  0.500  0.00
F  0.737  0.263  0.000  0.00
F  0.252  0.252  0.497  0.02
F  0.263  0.737  0.000  0.00

Fermi-level density of states   0.00 states/eV/f.u.
Space group   I4/mmm, No. 139
Calculated density   5.31 Mg/m³
Uncorrected energy   -4.459 eV/atom
M_tot   2.00 μB per formula unit